1.
First-principles (PBE) data for a geometry-optimized KPr2F7 structure, as listed in the Alexandria database.

Lattice parameters (Å, degrees): 4.2738 4.2738 9.0860 103.60 103.60 90.00
With the nearest neighbours (Å) after each atom.
Element x y z (fractional)
K: 0.0000 0.0000 0.0000  12 F 2.75-3.02
Pr: 0.6513 0.6513 0.3026  4 F 2.31
Pr: 0.3487 0.3487 0.6974  4 F 2.31
F: 0.1008 0.6008 0.2016  2 Pr 2.31, 1 F 2.56
F: 0.3992 0.8992 0.7984  2 Pr 2.31, 1 F 2.56
F: 0.6008 0.1008 0.2016  2 Pr 2.31, 1 F 2.56
F: 0.5000 0.5000 0.0000  2 Pr 2.59, 8 F 2.75
F: 0.7500 0.2500 0.5000  2 F 2.56, 4 Pr 2.73
F: 0.8992 0.3992 0.7984  2 Pr 2.31, 1 F 2.56
F: 0.2500 0.7500 0.5000  2 F 2.56, 4 Pr 2.73

Output
**Raw formation energy**: -3.751 eV/atom
**Space-group type**: I4/mmm
**Uncorrected energy**: -6.13 eV per atom
**Total magnetic moment**: 0.1 Bohr magnetons per cell

2.
First-principles (PBE) data for a geometry-optimized K3PrF6 structure, as listed in the Alexandria database.

Lattice parameters (Å, degrees): 6.8150 6.8150 6.8150 60.00 60.00 60.00
With the nearest neighbours (Å) after each atom.
Element x y z (fractional)
K: 0.7500 0.7500 0.7500  12 F 3.41
K: 0.2500 0.2500 0.2500  12 F 3.41
K: 0.5000 0.5000 0.5000  6 F 2.53
Pr: 0.0000 0.0000 0.0000  6 F 2.29
F: 0.2374 0.7626 0.2374  1 Pr 2.29, 1 K 2.53
F: 0.7626 0.2374 0.2374  1 Pr 2.29, 1 K 2.53
F: 0.7626 0.2374 0.7626  1 Pr 2.29, 1 K 2.53
F: 0.2374 0.2374 0.7626  1 Pr 2.29, 1 K 2.53
F: 0.7626 0.7626 0.2374  1 Pr 2.29, 1 K 2.53
F: 0.2374 0.7626 0.7626  1 Pr 2.29, 1 K 2.53

Output
**Raw formation energy**: -3.191 eV/atom
**Space-group type**: Fm-3m
**Uncorrected energy**: -5.12 eV per atom
**Total magnetic moment**: 0.2 Bohr magnetons per cell

3.
First-principles (PBE) data for a geometry-optimized K3PrF8 structure, as listed in the Alexandria database.

Lattice parameters (Å, degrees): 6.0877 6.0877 7.6003 113.61 113.61 90.00
With the nearest neighbours (Å) after each atom.
Element x y z (fractional)
K: 0.7500 0.2500 0.5000  8 F 2.76
K: 0.5000 0.5000 0.0000  8 F 2.76
K: 0.2500 0.7500 0.5000  8 F 2.76
Pr: 0.0000 0.0000 0.0000  8 F 2.40
F: 0.3381 0.3381 0.2265  1 Pr 2.40
F: 0.3381 0.8883 0.2265  1 Pr 2.40
F: 0.1117 0.6619 0.7735  1 Pr 2.40
F: 0.1117 0.1117 0.7735  1 Pr 2.40
F: 0.8883 0.8883 0.2265  1 Pr 2.40
F: 0.8883 0.3381 0.2265  1 Pr 2.40
F: 0.6619 0.1117 0.7735  1 Pr 2.40
F: 0.6619 0.6619 0.7735  1 Pr 2.40

Output
**Raw formation energy**: -2.732 eV/atom
**Space-group type**: I4/mmm
**Uncorrected energy**: -4.65 eV per atom
**Total magnetic moment**: 2.0 Bohr magnetons per cell

4.
First-principles (PBE) data for a geometry-optimized K2PrZn3F12 structure, as listed in the Alexandria database.

Lattice parameters (Å, degrees): 7.0213 7.0213 7.0213 65.83 65.83 65.83
With the nearest neighbours (Å) after each atom.
Element x y z (fractional)
K: 0.6148 0.6148 0.6148  3 F 2.61
K: 0.3852 0.3852 0.3852  3 F 2.61
Pr: 0.0000 0.0000 0.0000  6 F 2.47
Zn: 0.5000 0.0000 0.0000  6 F 1.99-2.02
Zn: 0.0000 0.5000 0.0000  6 F 1.99-2.02
Zn: 0.0000 0.0000 0.5000  6 F 1.99-2.02
F: 0.2645 0.2645 0.8939  2 Zn 2.02
F: 0.8681 0.8681 0.4015  1 Zn 1.99
F: 0.4015 0.8681 0.8681  1 Zn 1.99
F: 0.8939 0.2645 0.2645  2 Zn 2.02
F: 0.8681 0.4015 0.8681  1 Zn 1.99
F: 0.2645 0.8939 0.2645  2 Zn 2.02
F: 0.7355 0.7355 0.1061  2 Zn 2.02
F: 0.1319 0.1319 0.5985  1 Zn 1.99
F: 0.5985 0.1319 0.1319  1 Zn 1.99
F: 0.1061 0.7355 0.7355  2 Zn 2.02
F: 0.1319 0.5985 0.1319  1 Zn 1.99
F: 0.7355 0.1061 0.7355  2 Zn 2.02

Output
**Raw formation energy**: -2.685 eV/atom
**Space-group type**: R-3m
**Uncorrected energy**: -4.53 eV per atom
**Total magnetic moment**: 1.0 Bohr magnetons per cell

5.
First-principles (PBE) data for a geometry-optimized KPrZnF6 structure, as listed in the Alexandria database.

Lattice parameters (Å, degrees): 5.9792 5.9792 10.6261 90.00 90.00 120.00
With the nearest neighbours (Å) after each atom.
Element x y z (fractional)
K: 0.0000 0.0000 0.0000  6 F 2.70
K: 0.0000 0.0000 0.5000  6 F 2.70
Pr: 0.3333 0.6667 0.2500  6 F 2.32
Pr: 0.6667 0.3333 0.7500  6 F 2.32
Zn: 0.6667 0.3333 0.2500  6 F 2.08
Zn: 0.3333 0.6667 0.7500  6 F 2.08
F: 0.6430 0.6131 0.1435  1 Zn 2.08, 1 Pr 2.32
F: 0.9701 0.3570 0.1435  1 Zn 2.08, 1 Pr 2.32
F: 0.3570 0.9701 0.6435  1 Zn 2.08, 1 Pr 2.32
F: 0.0299 0.6430 0.8565  1 Zn 2.08, 1 Pr 2.32
F: 0.3869 0.3570 0.3565  1 Zn 2.08, 1 Pr 2.32
F: 0.9701 0.6131 0.3565  1 Zn 2.08, 1 Pr 2.32
F: 0.6131 0.9701 0.8565  1 Zn 2.08, 1 Pr 2.32
F: 0.6430 0.0299 0.3565  1 Zn 2.08, 1 Pr 2.32
F: 0.0299 0.3869 0.6435  1 Zn 2.08, 1 Pr 2.32
F: 0.3869 0.0299 0.1435  1 Zn 2.08, 1 Pr 2.32
F: 0.6131 0.6430 0.6435  1 Zn 2.08, 1 Pr 2.32
F: 0.3570 0.3869 0.8565  1 Zn 2.08, 1 Pr 2.32

Output
**Raw formation energy**: -3.155 eV/atom
**Space-group type**: P-31c
**Uncorrected energy**: -5.20 eV per atom
**Total magnetic moment**: 0.0 Bohr magnetons per cell

6.
First-principles (PBE) data for a geometry-optimized KPtF2 structure, as listed in the Alexandria database.

Lattice parameters (Å, degrees): 4.4561 4.4561 4.4561 60.00 60.00 60.00
With the nearest neighbours (Å) after each atom.
Element x y z (fractional)
K: 0.0000 0.0000 0.0000  8 F 2.73
Pt: 0.5000 0.5000 0.5000  8 F 2.73
F: 0.2500 0.2500 0.2500  4 K 2.73, 4 Pt 2.73
F: 0.7500 0.7500 0.7500  4 K 2.73, 4 Pt 2.73

Output
**Raw formation energy**: -0.814 eV/atom
**Space-group type**: Fm-3m
**Uncorrected energy**: -3.53 eV per atom
**Total magnetic moment**: 1.1 Bohr magnetons per cell

7.
First-principles (PBE) data for a geometry-optimized KPt2F8 structure, as listed in the Alexandria database.

Lattice parameters (Å, degrees): 4.1499 7.6303 7.6303 120.00 90.00 90.00
With the nearest neighbours (Å) after each atom.
Element x y z (fractional)
K: 0.5000 0.0000 0.0000  6 F 2.69
Pt: 0.7813 0.6667 0.3333  5 F 1.99-2.08
Pt: 0.2187 0.3333 0.6667  5 F 1.99-2.08
F: 0.7185 0.3333 0.6667  2 Pt 2.07-2.08
F: 0.2815 0.6667 0.3333  2 Pt 2.07-2.08
F: 0.2178 0.1831 0.3662  1 Pt 1.99
F: 0.7822 0.8169 0.6338  1 Pt 1.99
F: 0.7822 0.3662 0.1831  1 Pt 1.99
F: 0.2178 0.6338 0.8169  1 Pt 1.99
F: 0.2178 0.1831 0.8169  1 Pt 1.99
F: 0.7822 0.8169 0.1831  1 Pt 1.99

Output
**Raw formation energy**: -1.232 eV/atom
**Space-group type**: P-3m1
**Uncorrected energy**: -3.79 eV per atom
**Total magnetic moment**: 4.3 Bohr magnetons per cell

8.
First-principles (PBE) data for a geometry-optimized K2PtF6 structure, as listed in the Alexandria database.

Lattice parameters (Å, degrees): 6.0809 6.6644 8.4457 90.00 93.88 90.00
With the nearest neighbours (Å) after each atom.
Element x y z (fractional)
K: 0.9709 0.4274 0.7461  8 F 2.71-3.03
K: 0.5291 0.9274 0.7539  8 F 2.71-3.03
K: 0.4709 0.0726 0.2461  8 F 2.71-3.03
K: 0.0291 0.5726 0.2539  8 F 2.71-3.03
Pt: 0.5000 0.5000 0.0000  6 F 1.97-1.98
Pt: 0.0000 0.0000 0.5000  6 F 1.97-1.98
F: 0.9017 0.9635 0.2743  1 Pt 1.97
F: 0.8532 0.7459 0.5521  1 Pt 1.98
F: 0.7712 0.6525 0.9621  1 Pt 1.98
F: 0.7288 0.1525 0.5379  1 Pt 1.98
F: 0.6468 0.2459 0.9479  1 Pt 1.98
F: 0.5983 0.4635 0.2257  1 Pt 1.97
F: 0.0983 0.0365 0.7257  1 Pt 1.97
F: 0.1468 0.2541 0.4479  1 Pt 1.98
F: 0.2288 0.3475 0.0379  1 Pt 1.98
F: 0.2712 0.8475 0.4621  1 Pt 1.98
F: 0.3532 0.7541 0.0521  1 Pt 1.98
F: 0.4017 0.5365 0.7743  1 Pt 1.97

Output
**Raw formation energy**: -2.161 eV/atom
**Space-group type**: P2_1/c
**Uncorrected energy**: -4.32 eV per atom
**Total magnetic moment**: 0.3 Bohr magnetons per cell

9.
First-principles (PBE) data for a geometry-optimized KPtF structure, as listed in the Alexandria database.

Lattice parameters (Å, degrees): 8.7883 3.7389 4.9547 112.66 95.37 90.02
With the nearest neighbours (Å) after each atom.
Element x y z (fractional)
K: 0.9406 0.9991 0.6296  3 F 2.59-2.65
K: 0.5474 0.0733 0.7776  3 F 2.59-2.65
Pt: 0.2440 0.3734 0.3756  2 F 2.36-2.40, 2 Pt 2.48
Pt: 0.2437 0.6920 0.0197  2 F 2.37-2.39, 2 Pt 2.48
F: 0.7440 0.5363 0.7040  4 K 2.59
F: 0.2441 0.0323 0.6975  4 Pt 2.36-2.40

Output
**Raw formation energy**: -1.180 eV/atom
**Space-group type**: P1
**Uncorrected energy**: -4.18 eV per atom
**Total magnetic moment**: 0.0 Bohr magnetons per cell

What did the seventh record say?
First-principles (PBE) data for a geometry-optimized KPt2F8 structure, as listed in the Alexandria database.

Lattice parameters (Å, degrees): 4.1499 7.6303 7.6303 120.00 90.00 90.00
With the nearest neighbours (Å) after each atom.
Element x y z (fractional)
K: 0.5000 0.0000 0.0000  6 F 2.69
Pt: 0.7813 0.6667 0.3333  5 F 1.99-2.08
Pt: 0.2187 0.3333 0.6667  5 F 1.99-2.08
F: 0.7185 0.3333 0.6667  2 Pt 2.07-2.08
F: 0.2815 0.6667 0.3333  2 Pt 2.07-2.08
F: 0.2178 0.1831 0.3662  1 Pt 1.99
F: 0.7822 0.8169 0.6338  1 Pt 1.99
F: 0.7822 0.3662 0.1831  1 Pt 1.99
F: 0.2178 0.6338 0.8169  1 Pt 1.99
F: 0.2178 0.1831 0.8169  1 Pt 1.99
F: 0.7822 0.8169 0.1831  1 Pt 1.99

Output
**Raw formation energy**: -1.232 eV/atom
**Space-group type**: P-3m1
**Uncorrected energy**: -3.79 eV per atom
**Total magnetic moment**: 4.3 Bohr magnetons per cell

> Among the records above, which one has the lowest uncorrected energy?

KPr2F7